{"formula": "Mn4ClO4", "functional": "GGA+U", "state": "relaxed", "lattice_angstrom": [[-2.8203, 3.5124, -4.1133], [-4.6578, -2.5646, 2.9894], [-0.0102, 5.7266, 4.8970]], "species": ["O", "O", "O", "O", "O", "O", "O", "O", "Mn", "Mn", "Mn", "Mn", "Mn", "Mn", "Mn", "Mn", "Cl", "Cl"], "fractional_positions": [[0.1454, 0.8546, 0.0000], [0.1454, 0.8546, 0.5000], [0.4130, 0.1202, 0.2500], [0.8546, 0.1454, 0.0000], [0.8798, 0.5870, 0.7500], [0.5870, 0.8798, 0.7500], [0.8546, 0.1454, 0.5000], [0.1202, 0.4130, 0.2500], [0.8062, 0.8062, 0.5597], [0.2429, 0.7530, 0.7500], [0.8062, 0.8062, 0.9403], [0.7530, 0.2429, 0.7500], [0.7571, 0.2470, 0.2500], [0.1938, 0.1938, 0.4403], [0.2470, 0.7571, 0.2500], [0.1938, 0.1938, 0.0597], [0.3448, 0.3448, 0.7500], [0.6552, 0.6552, 0.2500]], "final_energy_ev_per_atom": -7.190, "dos_at_fermi_per_ev_cell": 4.4, "magmom_total_mub_per_cell": 38.0}